VASP calculation (PBE-GGA) on an optimized crystal structure of HfRu. Values from VASP.

* ρ: 12.557 g/cm³
* DOS at the Fermi energy: 0.76 states/eV/f.u.
* energy of formation from the pure elements: -5.99 kcal/mol of atoms

Quantum ESPRESSO input file:
```
&SYSTEM
  ibrav = 0, nat = 8, ntyp = 2
/
ATOMIC_SPECIES
Hf 178.49 Hf.upf
Ru 101.07 Ru.upf
CELL_PARAMETERS angstrom
0.000 4.161 5.148
3.452 0.000 5.148
3.452 4.161 0.000
ATOMIC_POSITIONS angstrom
Hf 2.589 0.560 3.861
Hf 4.315 2.640 6.435
Hf 2.589 5.682 3.861
Hf 4.315 7.763 6.435
Ru 3.889 3.121 3.861
Ru 5.615 5.201 6.435
Ru 1.289 3.121 3.861
Ru 3.014 5.201 6.435
```